(1)
# SbPF2, optimized geometry, DFT PBE-GGA
data_SbPF2
_space_group_name_H-M_alt 'F m -3 m'
_space_group_IT_number 225
_space_group_name_Hall '-F 4 2 3'
_cell_length_a 6.191
_cell_length_b 6.191
_cell_length_c 6.191
_cell_angle_alpha 90.00
_cell_angle_beta 90.00
_cell_angle_gamma 90.00
loop_
_atom_site_label
_atom_site_fract_x
_atom_site_fract_y
_atom_site_fract_z
Sb1 0.000 0.000 0.000
P1 0.000 0.000 0.500
F1 0.250 0.250 0.250
# V, Å³/cell: 237.3
# Raw formation energy, eV/atom: -0.447
# Excess energy over the best structure of this formula in the dataset, meV/atom: 517.1
# DFT total energy, eV per cell: -60.2


(2)
# Rb2Sb2PdPt, optimized geometry, DFT PBE-GGA
data_Rb2Sb2PdPt
_space_group_name_H-M_alt 'I b a m'
_space_group_IT_number 72
_space_group_name_Hall '-I 2 2c'
_cell_length_a 6.831
_cell_length_b 16.030
_cell_length_c 6.924
_cell_angle_alpha 90.00
_cell_angle_beta 90.00
_cell_angle_gamma 90.00
loop_
_atom_site_label
_atom_site_fract_x
_atom_site_fract_y
_atom_site_fract_z
Rb1 0.246 0.170 0.000
Sb1 0.245 0.426 0.000
Pd1 0.000 0.000 0.250
Pt1 0.000 0.500 0.250
# V, Å³/cell: 758.1
# Raw formation energy, eV/atom: -0.413
# DFT total energy, eV per cell: -95.6